(1)
Material: GaCuSe2Br
Method: DFT, PBE
State: optimized geometry

Output
**Calculated density**: 4.77 g/cm3
**Total moment**: 0.0001 μB/atom
**Energy above the lowest structure with this stoichiometry**: 291 meV/atom
**Formation energy (no corrections)**: 0.439 eV/atom

a b c (Å): 4.9609 4.9609 5.2541
angles (deg): 90.00 90.00 90.00
Last column: nearest neighbours and their distance in Å.
Element x y z (fractional)
Ga (0.0000, 0.0000, 0.0000)  4 Se 2.48, 2 Br 2.63
Cu (0.5000, 0.5000, 0.5000)  4 Br 3.51, 8 Se 3.61
Se (0.0000, 0.5000, 0.0000)  2 Ga 2.48
Se (0.5000, 0.0000, 0.0000)  2 Ga 2.48
Br (0.0000, 0.0000, 0.5000)  2 Ga 2.63



(2)
Material: TlGa2CuBr8
Method: DFT, PBE
State: optimized geometry

Output
**Calculated density**: 4.49 g/cm3
**Total moment**: 0.0106 μB/atom
**Formation energy (no corrections)**: -0.717 eV/atom

a b c (Å): 6.8213 6.8213 9.6045
angles (deg): 90.00 90.00 120.00
Last column: nearest neighbours and their distance in Å.
Element x y z (fractional)
Tl (0.0000, 0.0000, 0.0000)  12 Br 3.83-3.94
Ga (0.3333, 0.6667, 0.7437)  4 Br 2.36-2.39
Ga (0.6667, 0.3333, 0.2563)  4 Br 2.36-2.39
Cu (0.0000, 0.0000, 0.5000)  6 Br 2.69
Br (0.0135, 0.3202, 0.6697)  1 Ga 2.39
Br (0.3067, 0.9865, 0.6697)  1 Ga 2.39
Br (0.3202, 0.3067, 0.3303)  1 Ga 2.39
Br (0.3333, 0.6667, 0.9898)  1 Ga 2.36
Br (0.6667, 0.3333, 0.0102)  1 Ga 2.36
Br (0.6798, 0.6933, 0.6697)  1 Ga 2.39
Br (0.6933, 0.0135, 0.3303)  1 Ga 2.39
Br (0.9865, 0.6798, 0.3303)  1 Ga 2.39



(3)
Material: Gd2CuBr
Method: DFT, PBE
State: optimized geometry

Output
**Calculated density**: 7.87 g/cm3
**Total moment**: 3.7367 μB/atom
**Energy above the lowest structure with this stoichiometry**: 76 meV/atom
**Formation energy (no corrections)**: -0.572 eV/atom

a b c (Å): 3.4534 3.4534 8.1011
angles (deg): 90.00 90.00 90.00
Last column: nearest neighbours and their distance in Å.
Element x y z (fractional)
Gd (0.0000, 0.0000, 0.2163)  4 Cu 3.01, 4 Br 3.35
Gd (0.0000, 0.0000, 0.7837)  4 Cu 3.01, 4 Br 3.35
Cu (0.5000, 0.5000, 0.0000)  8 Gd 3.01
Br (0.5000, 0.5000, 0.5000)  8 Gd 3.35, 4 Br 3.45



(4)
Material: Gd3Cu5Br12
Method: DFT, PBE
State: optimized geometry

Output
**Calculated density**: 5.50 g/cm3
**Total moment**: 1.0420 μB/atom
**Formation energy (no corrections)**: -0.913 eV/atom

a b c (Å): 13.9977 13.9977 13.9977
angles (deg): 109.47 109.47 109.47
Last column: nearest neighbours and their distance in Å.
Element x y z (fractional)
Gd (0.1250, 0.2500, 0.3750)  8 Br 3.11
Gd (0.1250, 0.3750, 0.7500)  8 Br 3.11
Gd (0.2500, 0.3750, 0.1250)  8 Br 3.11
Gd (0.2500, 0.8750, 0.6250)  8 Br 3.11
Gd (0.3750, 0.1250, 0.2500)  8 Br 3.11
Gd (0.3750, 0.7500, 0.1250)  8 Br 3.11
Gd (0.6250, 0.2500, 0.8750)  8 Br 3.11
Gd (0.6250, 0.8750, 0.7500)  8 Br 3.11
Gd (0.7500, 0.1250, 0.3750)  8 Br 3.11
Gd (0.7500, 0.6250, 0.8750)  8 Br 3.11
Gd (0.8750, 0.6250, 0.2500)  8 Br 3.11
Gd (0.8750, 0.7500, 0.6250)  8 Br 3.11
Cu (0.0000, 0.0000, 0.0000)  6 Br 2.68
Cu (0.0000, 0.0000, 0.5000)  6 Br 2.68
Cu (0.0000, 0.5000, 0.0000)  6 Br 2.68
Cu (0.0000, 0.5000, 0.5000)  6 Br 2.68
Cu (0.1250, 0.7500, 0.8750)  4 Br 2.44
Cu (0.1250, 0.8750, 0.2500)  4 Br 2.44
Cu (0.2500, 0.1250, 0.8750)  4 Br 2.44
Cu (0.2500, 0.6250, 0.3750)  4 Br 2.44
Cu (0.3750, 0.2500, 0.6250)  4 Br 2.44
Cu (0.3750, 0.6250, 0.7500)  4 Br 2.44
Cu (0.5000, 0.0000, 0.0000)  6 Br 2.68
Cu (0.5000, 0.0000, 0.5000)  6 Br 2.68
Cu (0.5000, 0.5000, 0.0000)  6 Br 2.68
Cu (0.5000, 0.5000, 0.5000)  6 Br 2.68
Cu (0.6250, 0.3750, 0.2500)  4 Br 2.44
Cu (0.6250, 0.7500, 0.3750)  4 Br 2.44
Cu (0.7500, 0.3750, 0.6250)  4 Br 2.44
Cu (0.7500, 0.8750, 0.1250)  4 Br 2.44
Cu (0.8750, 0.1250, 0.7500)  4 Br 2.44
Cu (0.8750, 0.2500, 0.1250)  4 Br 2.44
Br (0.0330, 0.2128, 0.1231)  2 Cu 2.44-2.68
Br (0.0330, 0.3202, 0.9099)  2 Cu 2.44-2.68
Br (0.0901, 0.6231, 0.4103)  2 Cu 2.44-2.68
Br (0.0897, 0.7128, 0.6798)  2 Cu 2.44-2.68
Br (0.0897, 0.8769, 0.4099)  2 Cu 2.44-2.68
Br (0.0901, 0.9670, 0.6798)  2 Cu 2.44-2.68
Br (0.1231, 0.0330, 0.2128)  2 Cu 2.44-2.68
Br (0.1231, 0.5901, 0.9103)  2 Cu 2.44-2.68
Br (0.1798, 0.2128, 0.5897)  2 Cu 2.44-2.68
Br (0.1798, 0.4670, 0.5901)  2 Cu 2.44-2.68
Br (0.2128, 0.1231, 0.0330)  2 Cu 2.44-2.68
Br (0.2128, 0.5897, 0.1798)  2 Cu 2.44-2.68
Br (0.2872, 0.3202, 0.9103)  2 Cu 2.44-2.68
Br (0.2872, 0.4670, 0.3769)  2 Cu 2.44-2.68
Br (0.3202, 0.9099, 0.0330)  2 Cu 2.44-2.68
Br (0.3202, 0.9103, 0.2872)  2 Cu 2.44-2.68
Br (0.3769, 0.2872, 0.4670)  2 Cu 2.44-2.68
Br (0.3769, 0.5897, 0.9099)  2 Cu 2.44-2.68
Br (0.4103, 0.0901, 0.6231)  2 Cu 2.44-2.68
Br (0.4099, 0.0897, 0.8769)  2 Cu 2.44-2.68
Br (0.4099, 0.8202, 0.5330)  2 Cu 2.44-2.68
Br (0.4103, 0.8202, 0.7872)  2 Cu 2.44-2.68
Br (0.4670, 0.3769, 0.2872)  2 Cu 2.44-2.68
Br (0.4670, 0.5901, 0.1798)  2 Cu 2.44-2.68
Br (0.5330, 0.4099, 0.8202)  2 Cu 2.44-2.68
Br (0.5330, 0.6231, 0.7128)  2 Cu 2.44-2.68
Br (0.5897, 0.1798, 0.2128)  2 Cu 2.44-2.68
Br (0.5901, 0.1798, 0.4670)  2 Cu 2.44-2.68
Br (0.5901, 0.9103, 0.1231)  2 Cu 2.44-2.68
Br (0.5897, 0.9099, 0.3769)  2 Cu 2.44-2.68
Br (0.6231, 0.4103, 0.0901)  2 Cu 2.44-2.68
Br (0.6231, 0.7128, 0.5330)  2 Cu 2.44-2.68
Br (0.6798, 0.0897, 0.7128)  2 Cu 2.44-2.68
Br (0.6798, 0.0901, 0.9670)  2 Cu 2.44-2.68
Br (0.7128, 0.5330, 0.6231)  2 Cu 2.44-2.68
Br (0.7128, 0.6798, 0.0897)  2 Cu 2.44-2.68
Br (0.7872, 0.4103, 0.8202)  2 Cu 2.44-2.68
Br (0.7872, 0.8769, 0.9670)  2 Cu 2.44-2.68
Br (0.8202, 0.5330, 0.4099)  2 Cu 2.44-2.68
Br (0.8202, 0.7872, 0.4103)  2 Cu 2.44-2.68
Br (0.8769, 0.4099, 0.0897)  2 Cu 2.44-2.68
Br (0.8769, 0.9670, 0.7872)  2 Cu 2.44-2.68
Br (0.9099, 0.0330, 0.3202)  2 Cu 2.44-2.68
Br (0.9103, 0.1231, 0.5901)  2 Cu 2.44-2.68
Br (0.9103, 0.2872, 0.3202)  2 Cu 2.44-2.68
Br (0.9099, 0.3769, 0.5897)  2 Cu 2.44-2.68
Br (0.9670, 0.6798, 0.0901)  2 Cu 2.44-2.68
Br (0.9670, 0.7872, 0.8769)  2 Cu 2.44-2.68



(5)
Material: GdCuBr2
Method: DFT, PBE
State: optimized geometry

Output
**Calculated density**: 5.67 g/cm3
**Total moment**: 1.7721 μB/atom
**Formation energy (no corrections)**: -0.478 eV/atom

a b c (Å): 8.8728 8.8728 8.8728
angles (deg): 25.21 25.21 25.21
Last column: nearest neighbours and their distance in Å.
Element x y z (fractional)
Gd (0.0000, 0.0000, 0.0000)  2 Br 2.84
Cu (0.5000, 0.5000, 0.5000)  6 Br 2.67
Br (0.1101, 0.1101, 0.1101)  3 Cu 2.67, 1 Gd 2.84
Br (0.8899, 0.8899, 0.8899)  3 Cu 2.67, 1 Gd 2.84



(6)
Material: Gd2CuBr
Method: DFT, PBE
State: optimized geometry

Output
**Calculated density**: 7.16 g/cm3
**Total moment**: 3.6969 μB/atom
**Energy above the lowest structure with this stoichiometry**: 0 meV/atom
**Formation energy (no corrections)**: -0.648 eV/atom

a b c (Å): 7.8484 7.8484 7.8484
angles (deg): 29.88 29.88 29.88
Last column: nearest neighbours and their distance in Å.
Element x y z (fractional)
Gd (0.2364, 0.2364, 0.2364)  3 Cu 2.81
Gd (0.7636, 0.7636, 0.7636)  3 Cu 2.81
Cu (0.5000, 0.5000, 0.5000)  6 Gd 2.81
Br (0.0000, 0.0000, 0.0000)  6 Gd 3.19



(7)
Material: Cu2GeBr
Method: DFT, PBE
State: optimized geometry

Output
**Calculated density**: 6.67 g/cm3
**Total moment**: 0.0000 μB/atom
**Energy above the lowest structure with this stoichiometry**: 443 meV/atom
**Formation energy (no corrections)**: 0.634 eV/atom

a b c (Å): 4.6170 4.6170 4.6170
angles (deg): 60.00 60.00 60.00
Last column: nearest neighbours and their distance in Å.
Element x y z (fractional)
Cu (0.2500, 0.2500, 0.2500)  4 Br 2.83, 4 Ge 2.83
Cu (0.7500, 0.7500, 0.7500)  4 Br 2.83, 4 Ge 2.83
Ge (0.0000, 0.0000, 0.0000)  8 Cu 2.83
Br (0.5000, 0.5000, 0.5000)  8 Cu 2.83



(8)
Material: CuGeBr3
Method: DFT, PBE
State: optimized geometry

Output
**Calculated density**: 4.03 g/cm3
**Total moment**: 0.0000 μB/atom
**Energy above the lowest structure with this stoichiometry**: 523 meV/atom
**Formation energy (no corrections)**: 0.110 eV/atom

a b c (Å): 5.3723 5.3723 5.3723
angles (deg): 90.00 90.00 90.00
Last column: nearest neighbours and their distance in Å.
Element x y z (fractional)
Cu (0.0000, 0.0000, 0.0000)  12 Br 3.80
Ge (0.5000, 0.5000, 0.5000)  6 Br 2.69
Br (0.0000, 0.5000, 0.5000)  2 Ge 2.69
Br (0.5000, 0.0000, 0.5000)  2 Ge 2.69
Br (0.5000, 0.5000, 0.0000)  2 Ge 2.69



(9)
Material: CuGeBr6
Method: DFT, PBE
State: optimized geometry

Output
**Calculated density**: 3.75 g/cm3
**Total moment**: 0.1238 μB/atom
**Formation energy (no corrections)**: -0.271 eV/atom

a b c (Å): 6.0492 6.7515 7.9621
angles (deg): 65.14 67.89 84.81
Last column: nearest neighbours and their distance in Å.
Element x y z (fractional)
Cu (0.0000, 0.0000, 0.0000)  4 Br 2.40-2.50
Ge (0.5000, 0.5000, 0.0000)  6 Br 2.41-2.66
Br (0.1047, 0.6471, 0.1874)  1 Cu 2.40, 1 Ge 2.66
Br (0.2471, 0.1409, 0.1225)  1 Cu 2.50, 1 Ge 2.59
Br (0.4529, 0.6785, 0.6837)  1 Ge 2.41
Br (0.5471, 0.3215, 0.3163)  1 Ge 2.41
Br (0.7529, 0.8591, 0.8775)  1 Cu 2.50, 1 Ge 2.59
Br (0.8953, 0.3529, 0.8126)  1 Cu 2.40, 1 Ge 2.66



(10)
Material: Cu2GeBr6
Method: DFT, PBE
State: optimized geometry

Output
**Calculated density**: 3.08 g/cm3
**Total moment**: 0.0000 μB/atom
**Formation energy (no corrections)**: -0.422 eV/atom

a b c (Å): 11.6602 11.6602 5.7301
angles (deg): 103.75 103.75 82.20
Last column: nearest neighbours and their distance in Å.
Element x y z (fractional)
Cu (0.2160, 0.2161, 0.3869)  2 Br 2.27
Cu (0.2161, 0.2160, 0.8869)  2 Br 2.27
Cu (0.7839, 0.7840, 0.1131)  2 Br 2.27
Cu (0.7840, 0.7839, 0.6131)  2 Br 2.27
Ge (0.2991, 0.7009, 0.7500)  4 Br 2.31
Ge (0.7009, 0.2991, 0.2500)  4 Br 2.31
Br (0.1025, 0.3317, 0.1376)  2 Cu 2.27
Br (0.1333, 0.7110, 0.4391)  1 Ge 2.31
Br (0.2890, 0.8667, 0.0609)  1 Ge 2.31
Br (0.3032, 0.5294, 0.8887)  1 Ge 2.31
Br (0.3317, 0.1025, 0.6376)  2 Cu 2.27
Br (0.4706, 0.6968, 0.6113)  1 Ge 2.31
Br (0.5294, 0.3032, 0.3887)  1 Ge 2.31
Br (0.6683, 0.8975, 0.3624)  2 Cu 2.27
Br (0.6968, 0.4706, 0.1113)  1 Ge 2.31
Br (0.7110, 0.1333, 0.9391)  1 Ge 2.31
Br (0.8667, 0.2890, 0.5609)  1 Ge 2.31
Br (0.8975, 0.6683, 0.8624)  2 Cu 2.27



(11)
Material: Cu2GeBr4
Method: DFT, PBE
State: optimized geometry

Output
**Calculated density**: 4.22 g/cm3
**Total moment**: 0.0000 μB/atom
**Formation energy (no corrections)**: -0.330 eV/atom

a b c (Å): 7.3421 7.3421 7.3421
angles (deg): 133.54 133.54 67.81
Last column: nearest neighbours and their distance in Å.
Element x y z (fractional)
Cu (0.2500, 0.7500, 0.5000)  4 Br 2.47
Cu (0.7500, 0.2500, 0.5000)  4 Br 2.47
Ge (0.0000, 0.0000, 0.0000)  4 Br 2.73
Br (0.1274, 0.5994, 0.0000)  2 Cu 2.47, 1 Ge 2.73
Br (0.4006, 0.4006, 0.5281)  2 Cu 2.47, 1 Ge 2.73
Br (0.5994, 0.1274, 0.0000)  2 Cu 2.47, 1 Ge 2.73
Br (0.8726, 0.8726, 0.4719)  2 Cu 2.47, 1 Ge 2.73



(12)
Material: CuGe3Br
Method: DFT, PBE
State: optimized geometry

Output
**Calculated density**: 5.34 g/cm3
**Total moment**: 0.0000 μB/atom
**Energy above the lowest structure with this stoichiometry**: 0 meV/atom
**Formation energy (no corrections)**: 0.423 eV/atom

a b c (Å): 4.8263 4.8263 4.8263
angles (deg): 90.00 90.00 90.00
Last column: nearest neighbours and their distance in Å.
Element x y z (fractional)
Cu (0.0000, 0.0000, 0.0000)  6 Ge 2.41
Ge (0.0000, 0.0000, 0.5000)  2 Cu 2.41
Ge (0.0000, 0.5000, 0.0000)  2 Cu 2.41
Ge (0.5000, 0.0000, 0.0000)  2 Cu 2.41
Br (0.5000, 0.5000, 0.5000)  12 Ge 3.41